DFT (PBEsol) results for crystalline TaMnNi3 at its relaxed geometry.

```
5
Lattice="-0.2956 -3.8593 1.4045 2.3162 1.0062 3.2522 -3.3914 1.0235 2.0987" Properties=species:S:1:pos:R:3 pbc="T T T"
Ni 1.1581 0.5031 1.6261
Ni -1.6957 0.5118 1.0493
Ni -0.1478 -1.9296 0.7023
Mn 0.0000 0.0000 0.0000
Ta -0.6854 -0.9148 3.3777
```

Values from the calculation:
The volume comes out at 70 Å³/cell. The value obtained for the formation energy from the elements is 1.084 eV per atom.

---

DFT (PBEsol) results for crystalline TaTiMnNi2 at its relaxed geometry.

```
5
Lattice="-0.0231 3.5536 -2.6389 -3.9486 -1.2177 -1.6051 -2.0146 2.3457 3.1764" Properties=species:S:1:pos:R:3 pbc="T T T"
Ni -1.0073 1.1729 1.5882
Ni -1.9743 -0.6088 -0.8025
Mn -0.0116 1.7768 -1.3195
Ti -2.9931 2.3408 -0.5338
Ta 0.0000 0.0000 0.0000
```

Values from the calculation:
The volume comes out at 87 Å³/cell. The value obtained for the formation energy from the elements is 1.236 eV per atom.